Record 1
DFT (GGA+U) results for a relaxed structure of CoPO2.

Properties
Energy, eV per atom: -5.762
Total moment, μB/atom: 0.000

a = 6.0731 Å, b = 6.0731 Å, c = 6.0731 Å
α = 26.77°, β = 26.77°, γ = 26.77°
Atoms (fractional coordinates):
Co 0.0000 0.0000 0.0000
P 0.5000 0.5000 0.5000
O 0.3913 0.3913 0.3913
O 0.6087 0.6087 0.6087

***

Record 2
DFT (GGA+U) results for a relaxed structure of CoP2O7.

Properties
Total moment, μB/atom: 0.502
Offset from the most stable computed form, eV per formula unit: 0.07

a = 5.2381 Å, b = 6.7177 Å, c = 8.4668 Å
α = 70.79°, β = 87.99°, γ = 86.66°
Atoms (fractional coordinates):
Co 0.2418 0.2101 0.2264
Co 0.7582 0.7899 0.7736
P 0.2289 0.1153 0.6599
P 0.2797 0.4454 0.8170
P 0.7203 0.5546 0.1830
P 0.7711 0.8847 0.3401
O 0.0122 0.9714 0.2408
O 0.0505 0.6020 0.7997
O 0.2156 0.1360 0.4773
O 0.2537 0.3501 0.6664
O 0.2719 0.2609 0.9803
O 0.4693 0.4452 0.2161
O 0.4704 0.9873 0.7406
O 0.5296 0.0127 0.2594
O 0.5307 0.5548 0.7839
O 0.7281 0.7391 0.0197
O 0.7463 0.6499 0.3336
O 0.7844 0.8640 0.5227
O 0.9495 0.3980 0.2003
O 0.9878 0.0286 0.7592

***

Record 3
DFT (GGA+U) results for a relaxed structure of CoP2O7.

Properties
Total moment, μB/atom: 0.506
Offset from the most stable computed form, eV per formula unit: 0.00

a = 4.9813 Å, b = 8.2979 Å, c = 6.9493 Å
α = 90.00°, β = 105.80°, γ = 90.00°
Atoms (fractional coordinates):
Co 0.2167 0.0000 0.2277
Co 0.7833 0.5000 0.7723
P 0.2573 0.7377 0.6135
P 0.3682 0.3142 0.9994
P 0.6318 0.8142 0.0006
P 0.7427 0.2377 0.3865
O 0.0173 0.6721 0.6866
O 0.1246 0.4340 0.9627
O 0.1609 0.8366 0.4254
O 0.2733 0.1405 0.0057
O 0.4380 0.8597 0.7809
O 0.4500 0.5957 0.5934
O 0.4685 0.8370 0.1554
O 0.5315 0.3370 0.8446
O 0.5500 0.0957 0.4066
O 0.5620 0.3597 0.2191
O 0.7267 0.6405 0.9943
O 0.8391 0.3366 0.5746
O 0.8754 0.9340 0.0373
O 0.9827 0.1721 0.3134

***

Record 4
DFT (GGA+U) results for a relaxed structure of CoPO4.

Properties
Energy, eV per atom: -6.738
Total moment, μB/atom: 0.674

a = 10.5524 Å, b = 5.2928 Å, c = 13.8490 Å
α = 90.00°, β = 90.00°, γ = 90.00°
Atoms (fractional coordinates):
Co 0.0241 0.0678 0.0000
Co 0.2203 0.4735 0.2497
Co 0.2797 0.4735 0.7497
Co 0.4759 0.0678 0.5000
Co 0.5241 0.9322 0.0000
Co 0.7203 0.5265 0.2497
Co 0.7797 0.5265 0.7497
Co 0.9759 0.9322 0.5000
P 0.0276 0.5704 0.8738
P 0.2252 0.9763 0.6256
P 0.2748 0.9763 0.1256
P 0.4724 0.5704 0.3738
P 0.5276 0.4296 0.8738
P 0.7252 0.0237 0.6256
P 0.7748 0.0237 0.1256
P 0.9724 0.4296 0.3738
O 0.0007 0.5992 0.4625
O 0.0086 0.1539 0.3994
O 0.0507 0.5102 0.2843
O 0.0840 0.0212 0.5999
O 0.1705 0.5544 0.8498
O 0.1930 0.0466 0.0368
O 0.2415 0.1367 0.2155
O 0.2451 0.6933 0.6491
O 0.2549 0.6933 0.1491
O 0.2585 0.1367 0.7155
O 0.3070 0.0466 0.5368
O 0.3295 0.5544 0.3498
O 0.4160 0.0212 0.0999
O 0.4493 0.5102 0.7843
O 0.4914 0.1539 0.8994
O 0.4993 0.5992 0.9625
O 0.5007 0.4008 0.4625
O 0.5086 0.8461 0.3994
O 0.5507 0.4898 0.2843
O 0.5840 0.9788 0.5999
O 0.6705 0.4456 0.8498
O 0.6930 0.9534 0.0368
O 0.7415 0.8633 0.2155
O 0.7451 0.3067 0.6491
O 0.7549 0.3067 0.1491
O 0.7585 0.8633 0.7155
O 0.8070 0.9534 0.5368
O 0.8295 0.4456 0.3498
O 0.9160 0.9788 0.0999
O 0.9493 0.4898 0.7843
O 0.9914 0.8461 0.8994
O 0.9993 0.4008 0.9625

***

Record 5
DFT (GGA+U) results for a relaxed structure of CoPO4.

Properties
Energy, eV per atom: -6.739
Total moment, μB/atom: 0.676

a = 8.9754 Å, b = 8.6069 Å, c = 17.8888 Å
α = 90.00°, β = 119.28°, γ = 90.00°
Atoms (fractional coordinates):
Co 0.0208 0.2090 0.4197
Co 0.0208 0.2910 0.9197
Co 0.3196 0.2051 0.2407
Co 0.3196 0.2949 0.7407
Co 0.3405 0.7052 0.4048
Co 0.3405 0.7948 0.9048
Co 0.6595 0.2052 0.0952
Co 0.6595 0.2948 0.5952
Co 0.6804 0.7051 0.2593
Co 0.6804 0.7949 0.7593
Co 0.9792 0.7090 0.0803
Co 0.9792 0.7910 0.5803
P 0.0190 0.6644 0.9138
P 0.0190 0.8356 0.4138
P 0.3214 0.6662 0.7371
P 0.3214 0.8338 0.2371
P 0.3348 0.1665 0.9085
P 0.3348 0.3335 0.4085
P 0.6652 0.6665 0.5915
P 0.6652 0.8335 0.0915
P 0.6786 0.1662 0.7629
P 0.6786 0.3338 0.2629
P 0.9810 0.1644 0.5862
P 0.9810 0.3356 0.0862
O 0.0460 0.7380 0.9985
O 0.0460 0.7620 0.4985
O 0.0911 0.0030 0.4315
O 0.0911 0.4970 0.9315
O 0.1150 0.7363 0.3788
O 0.1150 0.7637 0.8788
O 0.1512 0.7423 0.1920
O 0.1512 0.7577 0.6920
O 0.1741 0.1620 0.6535
O 0.1741 0.3380 0.1535
O 0.1994 0.1582 0.9386
O 0.1994 0.3418 0.4386
O 0.2680 0.2261 0.3293
O 0.2680 0.2739 0.8293
O 0.2921 0.0018 0.2017
O 0.2921 0.4982 0.7017
O 0.3682 0.0019 0.8847
O 0.3682 0.4981 0.3847
O 0.3843 0.6645 0.8349
O 0.3843 0.8355 0.3349
O 0.4522 0.7461 0.7173
O 0.4522 0.7539 0.2173
O 0.4960 0.7349 0.5195
O 0.4960 0.7651 0.0195
O 0.5040 0.2349 0.9805
O 0.5040 0.2651 0.4805
O 0.5478 0.2461 0.7827
O 0.5478 0.2539 0.2827
O 0.6157 0.1645 0.6651
O 0.6157 0.3355 0.1651
O 0.6318 0.5019 0.6153
O 0.6318 0.9981 0.1153
O 0.7079 0.5018 0.2983
O 0.7079 0.9982 0.7983
O 0.7320 0.7261 0.1707
O 0.7320 0.7739 0.6707
O 0.8006 0.6582 0.5614
O 0.8006 0.8418 0.0614
O 0.8259 0.6620 0.8465
O 0.8259 0.8380 0.3465
O 0.8488 0.2423 0.3080
O 0.8488 0.2577 0.8080
O 0.8850 0.2363 0.1212
O 0.8850 0.2637 0.6212
O 0.9089 0.5030 0.0685
O 0.9089 0.9970 0.5685
O 0.9540 0.2380 0.5015
O 0.9540 0.2620 0.0015

***

Record 6
DFT (GGA+U) results for a relaxed structure of CoPO4.

Properties
Energy, eV per atom: -6.685
Total moment, μB/atom: 0.666

a = 7.5362 Å, b = 5.0851 Å, c = 9.9061 Å
α = 90.00°, β = 98.19°, γ = 90.00°
Atoms (fractional coordinates):
Co 0.0000 0.1372 0.0000
Co 0.0000 0.8628 0.5000
Co 0.4897 0.3317 0.3278
Co 0.4897 0.6683 0.8278
P 0.2294 0.1666 0.7570
P 0.2294 0.8334 0.2570
P 0.7138 0.3200 0.0700
P 0.7138 0.6800 0.5700
O 0.0674 0.2130 0.8348
O 0.0674 0.7870 0.3348
O 0.1601 0.0489 0.6151
O 0.1601 0.9511 0.1151
O 0.3263 0.4235 0.7339
O 0.3263 0.5765 0.2339
O 0.3595 0.0284 0.3408
O 0.3595 0.9716 0.8408
O 0.5695 0.4953 0.9873
O 0.5695 0.5047 0.4873
O 0.6604 0.2679 0.2121
O 0.6604 0.7321 0.7121
O 0.7468 0.0560 0.9951
O 0.7468 0.9440 0.4951
O 0.9058 0.4438 0.0819
O 0.9058 0.5562 0.5819